# 1
Entry from OQMD: a relaxed structure of Sr3Re2Sn2 (PBE-GGA).

Geometry as extended XYZ:
```
7
Lattice="-2.3992 2.4404 9.2588 2.3992 -2.4404 9.2588 2.3992 2.4404 -9.2588" Properties=species:S:1:pos:R:3 pbc="T T T"
Re 0.0000 0.0000 8.1524
Re 0.0000 0.0000 10.3652
Sn 0.0000 2.4404 2.3946
Sn 2.3992 0.0000 6.8642
Sr 0.0000 0.0000 0.0000
Sr 0.0000 2.4404 5.9473
Sr 2.3992 0.0000 3.3115
```

Output
Total DFT energy (no corrections), eV/atom: -5.3505
Space group: Immm, No. 71
Calculated volume, Å³ per cell: 216.8

---

# 2
Entry from OQMD: a relaxed structure of SrReSn (PBE-GGA).

Geometry as extended XYZ:
```
3
Lattice="-3.7243 1.4880 3.1796 -4.8682 -0.0075 -1.5795 -3.2927 -3.4416 1.8729" Properties=species:S:1:pos:R:3 pbc="T T T"
Re -2.9713 -0.4903 0.8682
Sn -8.9139 -1.4708 2.6047
Sr 0.0000 0.0000 0.0000
```

Output
Total DFT energy (no corrections), eV/atom: -4.3475
Space group: F-43m, No. 216
Calculated volume, Å³ per cell: 94.8

---

# 3
Entry from OQMD: a relaxed structure of SrReSn (PBE-GGA).

Geometry as extended XYZ:
```
3
Lattice="0.0000 3.4018 3.4018 3.4018 0.0000 3.4018 3.4018 3.4018 0.0000" Properties=species:S:1:pos:R:3 pbc="T T T"
Re 0.0000 0.0000 0.0000
Sn 1.7009 1.7009 1.7009
Sr 5.1026 5.1026 5.1026
```

Output
Total DFT energy (no corrections), eV/atom: -5.1821
Space group: F-43m, No. 216
Calculated volume, Å³ per cell: 78.7